# 1
This record from the Open Quantum Materials Database describes Gd2H3Cl after structural relaxation. The functional is PBE.

Cell: 3.634 3.634 7.015 Å, 90.00 90.00 120.00°
Element x y z (fractional)
Gd  0.333  0.667  0.285
Gd  0.667  0.333  0.715
H  0.000  0.000  0.500
H  0.333  0.667  0.617
H  0.667  0.333  0.383
Cl  0.000  0.000  0.000

Values from the calculation:
- raw total energy (eV/cell) = -25.61
- calculated volume (Å³/cell) = 80.2

***

# 2
This record from the Open Quantum Materials Database describes Gd2H2I3Cl after structural relaxation. The functional is PBE.

Cell: 3.978 3.978 15.505 Å, 90.00 90.00 120.00°
Element x y z (fractional)
Gd  0.000  0.000  0.000
Gd  0.000  0.000  0.488
H  0.333  0.667  0.999
H  0.667  0.333  0.492
I  0.333  0.667  0.628
I  0.667  0.333  0.138
I  0.667  0.333  0.862
Cl  0.333  0.667  0.380

Values from the calculation:
- raw total energy (eV/cell) = -33.27
- calculated volume (Å³/cell) = 212.5

***

# 3
This record from the Open Quantum Materials Database describes Gd2H2ICl3 after structural relaxation. The functional is PBE.

Cell: 3.852 3.852 14.425 Å, 90.00 90.00 120.00°
Element x y z (fractional)
Gd  0.000  0.000  0.000
Gd  0.000  0.000  0.489
H  0.333  0.667  0.493
H  0.667  0.333  0.999
I  0.667  0.333  0.640
Cl  0.333  0.667  0.121
Cl  0.333  0.667  0.879
Cl  0.667  0.333  0.370

Values from the calculation:
- raw total energy (eV/cell) = -36.17
- calculated volume (Å³/cell) = 185.3

***

# 4
This record from the Open Quantum Materials Database describes LaGdH2Cl4 after structural relaxation. The functional is PBE.

Cell: 3.913 3.913 13.287 Å, 90.00 90.00 120.00°
Element x y z (fractional)
La  0.000  0.000  0.000
Gd  0.000  0.000  0.500
H  0.333  0.667  0.000
H  0.667  0.333  0.500
Cl  0.333  0.667  0.371
Cl  0.333  0.667  0.629
Cl  0.667  0.333  0.137
Cl  0.667  0.333  0.863

Values from the calculation:
- raw total energy (eV/cell) = -38.06
- calculated volume (Å³/cell) = 176.2

***

# 5
This record from the Open Quantum Materials Database describes TbGdH2Cl4 after structural relaxation. The functional is PBE.

Cell: 3.775 3.775 13.233 Å, 90.00 90.00 120.00°
Element x y z (fractional)
Tb  0.000  0.000  0.000
Gd  0.000  0.000  0.500
H  0.333  0.667  0.000
H  0.667  0.333  0.500
Cl  0.333  0.667  0.367
Cl  0.333  0.667  0.633
Cl  0.667  0.333  0.132
Cl  0.667  0.333  0.868

Values from the calculation:
- raw total energy (eV/cell) = -37.63
- calculated volume (Å³/cell) = 163.3

***

# 6
This record from the Open Quantum Materials Database describes GdTmH2Cl4 after structural relaxation. The functional is PBE.

Cell: 3.732 3.732 13.319 Å, 90.00 90.00 120.00°
Element x y z (fractional)
Gd  0.000  0.000  0.000
Tm  0.000  0.000  0.500
H  0.333  0.667  0.500
H  0.667  0.333  0.000
Cl  0.333  0.667  0.133
Cl  0.333  0.667  0.867
Cl  0.667  0.333  0.371
Cl  0.667  0.333  0.629

Values from the calculation:
- raw total energy (eV/cell) = -37.37
- calculated volume (Å³/cell) = 160.6